[1]
{"formula": "SrCrAs2Se8", "functional": "PBE-GGA", "state": "optimized geometry", "lattice": [[6.3162, 0.0000, 0.0000], [-3.1581, 5.4700, 0.0000], [0.0000, 0.0000, 9.1533]], "species": ["Sr", "Cr", "As", "As", "Se", "Se", "Se", "Se", "Se", "Se", "Se", "Se"], "frac_coords": [[0.0000, 0.0000, 0.0000], [0.0000, 0.0000, 0.5000], [0.3333, 0.6667, 0.7317], [0.6667, 0.3333, 0.2683], [0.0303, 0.7249, 0.3178], [0.2751, 0.3054, 0.3178], [0.3054, 0.0303, 0.6822], [0.3333, 0.6667, 0.9866], [0.6667, 0.3333, 0.0134], [0.6946, 0.9697, 0.3178], [0.7249, 0.6946, 0.6822], [0.9697, 0.2751, 0.6822]], "formation_energy_uncorrected_mev_per_atom": -362, "energy_ev_per_atom": -4.402, "n_ef_per_ev_atom": 0.758, "space_group": "P-3"}

[2]
{"formula": "AlCu2Ni2", "functional": "PBE-GGA", "state": "optimized geometry", "lattice": [[5.9960, 0.0000, 0.0000], [0.0000, 5.9960, 0.0000], [0.0000, 0.0000, 3.5343]], "species": ["Al", "Al", "Cu", "Cu", "Cu", "Cu", "Ni", "Ni", "Ni", "Ni"], "frac_coords": [[0.0000, 0.0000, 0.0000], [0.5000, 0.5000, 0.0000], [0.1618, 0.3382, 0.5000], [0.3382, 0.8382, 0.5000], [0.6618, 0.1618, 0.5000], [0.8382, 0.6618, 0.5000], [0.1358, 0.6358, 0.0000], [0.3642, 0.1358, 0.0000], [0.6358, 0.8642, 0.0000], [0.8642, 0.3642, 0.0000]], "energy_ev_per_atom": -4.762, "formation_enthalpy_0k_ev_per_fu": -0.31, "n_ef_per_ev_atom": 0.499, "space_group": "P4/mbm"}

[3]
{"formula": "HoPaSb", "functional": "PBE-GGA", "state": "optimized geometry", "lattice": [[-1.9478, 1.9478, 5.4170], [1.9478, -1.9478, 5.4170], [1.9478, 1.9478, -5.4170]], "species": ["Ho", "Pa", "Sb"], "frac_coords": [[0.0000, 0.0000, 0.0000], [0.3024, 0.3024, 0.0000], [0.6449, 0.6449, 0.0000]], "formation_energy_uncorrected_mev_per_atom": -250, "energy_ev_per_atom": -6.316, "n_ef_per_ev_atom": 1.756, "space_group": "I4mm"}

[4]
{"formula": "K2Ac2TiSe6", "functional": "PBE-GGA", "state": "optimized geometry", "lattice": [[3.7857, -6.3814, 0.0000], [3.7857, 6.3814, 0.0000], [-2.5240, 0.0000, 7.8019]], "species": ["K", "K", "Ac", "Ac", "Ti", "Se", "Se", "Se", "Se", "Se", "Se"], "frac_coords": [[0.1710, 0.8290, 0.0000], [0.8290, 0.1710, 0.0000], [0.3339, 0.6661, 0.5000], [0.6661, 0.3339, 0.5000], [0.0000, 0.0000, 0.5000], [0.0678, 0.3591, 0.7009], [0.2140, 0.2140, 0.3026], [0.3591, 0.0678, 0.7009], [0.6409, 0.9322, 0.2991], [0.7860, 0.7860, 0.6974], [0.9322, 0.6409, 0.2991]], "formation_energy_uncorrected_mev_per_atom": -1528, "energy_ev_per_atom": -5.092, "space_group": "C2/m"}

[5]
{"formula": "Li3Tb2Cd4", "functional": "PBE-GGA", "state": "optimized geometry", "lattice": [[4.8476, 0.0000, 0.0000], [2.4161, 5.0592, 0.0000], [0.0267, 2.3674, 8.0780]], "species": ["Li", "Li", "Li", "Tb", "Tb", "Cd", "Cd", "Cd", "Cd"], "frac_coords": [[0.0000, 0.0000, 0.0000], [0.3710, 0.2589, 0.4691], [0.6290, 0.7411, 0.5309], [0.2517, 0.4956, 0.7858], [0.7483, 0.5044, 0.2142], [0.0798, 0.8390, 0.3641], [0.4306, 0.1393, 0.1584], [0.5694, 0.8607, 0.8416], [0.9202, 0.1610, 0.6359]], "energy_ev_per_atom": -2.302, "formation_enthalpy_0k_ev_per_fu": -2.06, "n_ef_per_ev_atom": 0.695, "space_group": "P-1"}

[6]
{"formula": "Ho4Pd7Rh", "functional": "PBE-GGA", "state": "optimized geometry", "lattice": [[5.5248, 0.0000, 0.0000], [-1.8044, 6.8764, 0.0000], [-0.3270, -3.6786, 6.1020]], "species": ["Ho", "Ho", "Ho", "Ho", "Pd", "Pd", "Pd", "Pd", "Pd", "Pd", "Pd", "Rh"], "frac_coords": [[0.1618, 0.0724, 0.2630], [0.2861, 0.5621, 0.1878], [0.7139, 0.4379, 0.8122], [0.8382, 0.9276, 0.7370], [0.0000, 0.5000, 0.5000], [0.1650, 0.3027, 0.7159], [0.3415, 0.9455, 0.6342], [0.3609, 0.7676, 0.9156], [0.6391, 0.2324, 0.0844], [0.6585, 0.0545, 0.3658], [0.8350, 0.6973, 0.2841], [0.5000, 0.5000, 0.5000]], "energy_ev_per_atom": -5.958, "formation_enthalpy_0k_ev_per_fu": -9.49, "n_ef_per_ev_atom": 0.379, "space_group": "P-1"}

[7]
{"formula": "Rb2ZrAlF6", "functional": "PBE-GGA", "state": "optimized geometry", "lattice": [[-3.2255, 3.2255, 4.7573], [3.2255, -3.2255, 4.7573], [3.2255, 3.2255, -4.7573]], "species": ["Rb", "Rb", "Zr", "Al", "F", "F", "F", "F", "F", "F"], "frac_coords": [[0.2500, 0.7500, 0.5000], [0.7500, 0.2500, 0.5000], [0.0000, 0.0000, 0.0000], [0.5000, 0.5000, 0.0000], [0.2178, 0.2178, 0.0000], [0.2401, 0.2401, 0.4803], [0.2401, 0.7599, 0.0000], [0.7599, 0.2401, 0.0000], [0.7599, 0.7599, 0.5197], [0.7822, 0.7822, 0.0000]], "formation_energy_uncorrected_mev_per_atom": -2662, "energy_ev_per_atom": -5.207, "n_ef_per_ev_atom": 0.000, "space_group": "I4/mmm"}

[8]
{"formula": "TaPd2Pb", "functional": "PBE-GGA", "state": "optimized geometry", "lattice": [[-3.7388, 3.7388, 2.8727], [3.7388, -3.7388, 2.8727], [3.7388, 3.7388, -2.8727]], "species": ["Ta", "Ta", "Pd", "Pd", "Pd", "Pd", "Pb", "Pb"], "frac_coords": [[0.0000, 0.0000, 0.0000], [0.7500, 0.2500, 0.5000], [0.0999, 0.6250, 0.9749], [0.3750, 0.3499, 0.4749], [0.6501, 0.1250, 0.0251], [0.8750, 0.9001, 0.5251], [0.2500, 0.7500, 0.5000], [0.5000, 0.5000, 0.0000]], "energy_ev_per_atom": -6.262, "formation_enthalpy_0k_ev_per_fu": 0.90, "n_ef_per_ev_atom": 1.059, "space_group": "I-42d"}